This record from Alexandria describes WO2 after structural relaxation. The functional is GGA+U.

Lattice parameters (Å, degrees): 3.3151 9.2014 11.1793 90.00 90.00 90.00
Closest atoms and distances in Å follow each position.
Fractional positions:
O 0.7500 0.9385 0.0730  3 W 2.04-2.13
O 0.2500 0.0615 0.9270  3 W 2.04-2.13
O 0.7500 0.4385 0.4270  3 W 2.04-2.13
O 0.2500 0.5615 0.5730  3 W 2.04-2.13
O 0.7500 0.0058 0.7209  3 W 2.05-2.12
O 0.2500 0.9942 0.2791  3 W 2.05-2.12
O 0.7500 0.5058 0.7791  3 W 2.05-2.12
O 0.2500 0.4942 0.2209  3 W 2.05-2.12
O 0.7500 0.6095 0.0012  3 W 2.04-2.14
O 0.2500 0.3905 0.9988  3 W 2.04-2.14
O 0.7500 0.1095 0.4988  3 W 2.04-2.14
O 0.2500 0.8905 0.5012  3 W 2.04-2.14
O 0.2500 0.7839 0.8575  3 W 2.04-2.13
O 0.7500 0.2161 0.1425  3 W 2.04-2.13
O 0.7500 0.7161 0.3575  3 W 2.04-2.13
O 0.2500 0.2839 0.6425  3 W 2.04-2.13
W 0.7500 0.4348 0.1139  6 O 2.04-2.14
W 0.2500 0.0652 0.6139  6 O 2.04-2.14
W 0.7500 0.9348 0.3861  6 O 2.04-2.14
W 0.2500 0.5652 0.8861  6 O 2.04-2.14
W 0.2500 0.5771 0.3906  6 O 2.04-2.13
W 0.7500 0.4229 0.6094  6 O 2.04-2.13
W 0.2500 0.0771 0.1094  6 O 2.04-2.13
W 0.7500 0.9229 0.8906  6 O 2.04-2.13

Calculated values
Space-group type: Pnma, No. 62
Fermi-level density of states: 0.000 states/eV per atom
Total magnetization: 2.0 μB per formula unit
VASP energy: -7.610 eV per atom